Record 1
Entry from Alexandria via LeMat-Bulk: a relaxed CsTl2ZnBi crystal (PBE-GGA).

The formation energy comes out at 0.026 eV per atom.

The space group is P4/mmm (No. 123) and the conventional cell measures 5.7479, 5.7479 and 5.6734 Å, with angles of 90.00, 90.00 and 90.00 degrees. The distinct sites, in fractional coordinates, are Cs at (0.0000, 0.0000, 0.0000), Tl at (0.0000, 0.5000, 0.5000), Zn at (0.5000, 0.5000, 0.5000) and Bi at (0.5000, 0.5000, 0.0000).



Record 2
Entry from Alexandria via LeMat-Bulk: a relaxed Np2BOs3 crystal (PBE-GGA).

The formation energy comes out at 0.014 eV per atom.

The space group is R-3m (No. 166, hexagonal axes) and the conventional cell measures 5.5060, 5.5060 and 10.7164 Å, with angles of 90.00, 90.00 and 120.00 degrees. The distinct sites, in fractional coordinates, are Np at (0.0000, 0.0000, 0.1192), B at (0.0000, 0.0000, 0.5000) and Os at (0.0000, 0.5000, 0.0000).